The following is a DFT calculation (PBE) of a relaxed structure of ZnRhPbO6.

a b c (Å): 5.4262 5.4262 8.5780
angles (deg): 90.00 90.00 120.00
Last column: nearest neighbours and their distance in Å.
Fractional coordinates of all 18 atoms:
Zn 0.0000 0.0000 0.0000  6 O 2.16
Zn 0.0000 0.0000 0.5000  6 O 2.16
Rh 0.3333 0.6667 0.2500  6 O 1.96
Rh 0.6667 0.3333 0.7500  6 O 1.96
Pb 0.3333 0.6667 0.7500  6 O 2.21
Pb 0.6667 0.3333 0.2500  6 O 2.21
O 0.0354 0.3649 0.1221  1 Rh 1.96, 1 Zn 2.16
O 0.0354 0.6705 0.3779  1 Rh 1.96, 1 Zn 2.16
O 0.3295 0.3649 0.3779  1 Rh 1.96, 1 Zn 2.16
O 0.3295 0.9646 0.1221  1 Rh 1.96, 1 Zn 2.16
O 0.3649 0.0354 0.6221  1 Rh 1.96, 1 Zn 2.16
O 0.3649 0.3295 0.8779  1 Rh 1.96, 1 Zn 2.16
O 0.6351 0.6705 0.1221  1 Rh 1.96, 1 Zn 2.16
O 0.6351 0.9646 0.3779  1 Rh 1.96, 1 Zn 2.16
O 0.6705 0.0354 0.8779  1 Rh 1.96, 1 Zn 2.16
O 0.6705 0.6351 0.6221  1 Rh 1.96, 1 Zn 2.16
O 0.9646 0.3295 0.6221  1 Rh 1.96, 1 Zn 2.16
O 0.9646 0.6351 0.8779  1 Rh 1.96, 1 Zn 2.16

Output
As for the total energy: -47.76 eV per formula unit. The calculated density comes out at 7.2 g cm⁻³. The raw formation energy comes out at -14.5 kcal/mol of atoms. Its density of states at the Fermi level is 13.29 states/eV/cell.